Computed, not measured: crystalline NbAlNiPd at its relaxed geometry at the PBE level of DFT.

```
NbAlNiPd
1.0
6.199 0.000 0.000
0.000 6.199 0.000
0.000 0.000 6.199
Nb Al Ni Pd
4 4 4 4
Cartesian
0.000 0.000 0.000 Nb
0.000 3.099 3.099 Nb
3.099 0.000 3.099 Nb
3.099 3.099 0.000 Nb
0.000 0.000 3.099 Al
0.000 3.099 0.000 Al
3.099 0.000 0.000 Al
3.099 3.099 3.099 Al
1.550 1.550 4.649 Ni
1.550 4.649 1.550 Ni
4.649 1.550 1.550 Ni
4.649 4.649 4.649 Ni
1.550 1.550 1.550 Pd
1.550 4.649 4.649 Pd
4.649 1.550 4.649 Pd
4.649 4.649 1.550 Pd
```

Calculated formation energy = -0.42 eV per atom
Symmetry = F-43m, No. 216
V = 14.89 Å³ per atom